(1)
DFT (PBE) results for a geometry-optimized SiAsOs structure.

The volume comes out at 16.8 A^3/atom. Its crystal system is cubic. For the excess energy over the best structure of this formula in the dataset, the calculation gives 0.150 eV per atom. For the total moment, the calculation gives 0.00 μB per cell. The density of states at the Fermi level comes out at 0.638 states/eV per atom.

It has space group F-43m (No. 216), with a = 5.860 Å, b = 5.860 Å, c = 5.860 Å, α = 90.00°, β = 90.00° and γ = 90.00°. The inequivalent atoms are Si at (0.000, 0.000, 0.000), As at (0.000, 0.000, 0.500) and Os at (0.250, 0.250, 0.750).

(2)
DFT (PBE) results for a geometry-optimized SiAsOs4 structure.

The volume comes out at 16.3 A^3/atom. Its crystal system is cubic. As for the total energy: -8.1124 eV per atom. For the total moment, the calculation gives 0.01 μB per cell. The density of states at the Fermi level comes out at 1.485 states/eV per atom.

It has space group F-43m (No. 216), with a = 7.321 Å, b = 7.321 Å, c = 7.321 Å, α = 90.00°, β = 90.00° and γ = 90.00°. The inequivalent atoms are Si at (0.000, 0.000, 0.000), As at (0.250, 0.250, 0.750) and Os at (0.125, 0.125, 0.375).

(3)
DFT (PBE) results for a geometry-optimized SiAsOs structure.

The volume comes out at 16.4 A^3/atom. Its crystal system is tetragonal. For the excess energy over the best structure of this formula in the dataset, the calculation gives 0.275 eV per atom. For the total moment, the calculation gives 0.00 μB per cell. The density of states at the Fermi level comes out at 0.485 states/eV per atom.

It has space group I4mm (No. 107), with a = 2.940 Å, b = 2.940 Å, c = 11.382 Å, α = 90.00°, β = 90.00° and γ = 90.00°. The inequivalent atoms are Si at (0.000, 0.000, 0.000), As at (0.000, 0.000, 0.274) and Os at (0.000, 0.000, 0.630).

(4)
DFT (PBE) results for a geometry-optimized SiAsOs structure.

The volume comes out at 16.7 A^3/atom. Its crystal system is monoclinic. For the excess energy over the best structure of this formula in the dataset, the calculation gives 0.000 eV per atom. For the total moment, the calculation gives 0.00 μB per cell. The density of states at the Fermi level comes out at 0.711 states/eV per atom.

It has space group P2_1/c (No. 14), with a = 5.747 Å, b = 6.139 Å, c = 6.348 Å, α = 90.00°, β = 116.74° and γ = 90.00°. The inequivalent atoms are Si at (0.153, 0.145, 0.302), As at (0.334, 0.605, 0.151) and Os at (0.255, 0.501, 0.488).

(5)
DFT (PBE) results for a geometry-optimized SiAsOs structure.

The volume comes out at 15.0 A^3/atom. Its crystal system is orthorhombic. For the excess energy over the best structure of this formula in the dataset, the calculation gives 0.431 eV per atom. For the total moment, the calculation gives 0.00 μB per cell. The density of states at the Fermi level comes out at 0.474 states/eV per atom.

It has space group Imm2 (No. 44), with a = 2.991 Å, b = 3.755 Å, c = 8.001 Å, α = 90.00°, β = 90.00° and γ = 90.00°. The inequivalent atoms are Si at (0.000, 0.000, 0.000), As at (0.000, 0.000, 0.680) and Os at (0.000, 0.000, 0.361).

(6)
DFT (PBE) results for a geometry-optimized SiAsOs structure.

The volume comes out at 15.5 A^3/atom. Its crystal system is trigonal. For the excess energy over the best structure of this formula in the dataset, the calculation gives 0.218 eV per atom. For the total moment, the calculation gives 0.00 μB per cell. The density of states at the Fermi level comes out at 0.633 states/eV per atom.

It has space group P3m1 (No. 156), with a = 3.1090 Å, b = 3.1090 Å, c = 5.5383 Å, α = 90.00°, β = 90.00° and γ = 120.00°. The inequivalent atoms are Si at (0.0000, 0.0000, 0.0000), As at (0.6667, 0.3333, 0.3624) and Os at (0.3333, 0.6667, 0.6973).

(7)
DFT (PBE) results for a geometry-optimized SiAs3Os structure.

The volume comes out at 22.2 A^3/atom. Its crystal system is cubic. For the excess energy over the best structure of this formula in the dataset, the calculation gives 0.000 eV per atom. For the total moment, the calculation gives 0.00 μB per cell. The density of states at the Fermi level comes out at 1.231 states/eV per atom.

It has space group Pm-3m (No. 221), with a = 4.806 Å, b = 4.806 Å, c = 4.806 Å, α = 90.00°, β = 90.00° and γ = 90.00°. The inequivalent atoms are Si at (0.000, 0.000, 0.000), As at (0.000, 0.500, 0.500) and Os at (0.500, 0.500, 0.500).

(8)
DFT (PBE) results for a geometry-optimized Si2As2Os structure.

The volume comes out at 16.9 A^3/atom. Its crystal system is tetragonal. For the excess energy over the best structure of this formula in the dataset, the calculation gives 0.000 eV per atom. For the total moment, the calculation gives 0.00 μB per cell. The density of states at the Fermi level comes out at 0.560 states/eV per atom.

It has space group I4/mmm (No. 139), with a = 3.259 Å, b = 3.259 Å, c = 15.941 Å, α = 90.00°, β = 90.00° and γ = 90.00°. The inequivalent atoms are Si at (0.000, 0.500, 0.250), As at (0.000, 0.000, 0.093) and Os at (0.000, 0.000, 0.500).

(9)
DFT (PBE) results for a geometry-optimized SiAsOs structure.

The volume comes out at 15.9 A^3/atom. Its crystal system is orthorhombic. For the excess energy over the best structure of this formula in the dataset, the calculation gives 0.516 eV per atom. For the total moment, the calculation gives 0.00 μB per cell. The density of states at the Fermi level comes out at 0.559 states/eV per atom.

It has space group Fmm2 (No. 42), with a = 3.031 Å, b = 4.941 Å, c = 12.773 Å, α = 90.00°, β = 90.00° and γ = 90.00°. The inequivalent atoms are Si at (0.000, 0.000, 0.000), As at (0.000, 0.000, 0.310) and Os at (0.000, 0.000, 0.645).

(10)
DFT (PBE) results for a geometry-optimized SiAs4Os structure.

The volume comes out at 18.4 A^3/atom. Its crystal system is cubic. As for the total energy: -4.7291 eV per atom. For the total moment, the calculation gives 0.11 μB per cell. The density of states at the Fermi level comes out at 1.000 states/eV per atom.

It has space group F-43m (No. 216), with a = 7.615 Å, b = 7.615 Å, c = 7.615 Å, α = 90.00°, β = 90.00° and γ = 90.00°. The inequivalent atoms are Si at (0.000, 0.000, 0.000), As at (0.127, 0.127, 0.627) and Os at (0.250, 0.250, 0.250).

(11)
DFT (PBE) results for a geometry-optimized SiAs3Os structure.

The volume comes out at 19.3 A^3/atom. Its crystal system is cubic. For the excess energy over the best structure of this formula in the dataset, the calculation gives 0.413 eV per atom. For the total moment, the calculation gives 0.73 μB per cell. The density of states at the Fermi level comes out at 1.318 states/eV per atom.

It has space group Pm-3m (No. 221), with a = 4.586 Å, b = 4.586 Å, c = 4.586 Å, α = 90.00°, β = 90.00° and γ = 90.00°. The inequivalent atoms are Si at (0.000, 0.000, 0.000), As at (0.000, 0.000, 0.500) and Os at (0.500, 0.500, 0.500).

(12)
DFT (PBE) results for a geometry-optimized Si2As2Os structure.

The volume comes out at 16.6 A^3/atom. Its crystal system is tetragonal. For the excess energy over the best structure of this formula in the dataset, the calculation gives 0.215 eV per atom. For the total moment, the calculation gives 0.00 μB per cell. The density of states at the Fermi level comes out at 0.735 states/eV per atom.

It has space group P4/mbm (No. 127), with a = 6.960 Å, b = 6.960 Å, c = 3.419 Å, α = 90.00°, β = 90.00° and γ = 90.00°. The inequivalent atoms are Si at (0.171, 0.329, 0.000), As at (0.150, 0.650, 0.500) and Os at (0.000, 0.000, 0.500).

(13)
DFT (PBE) results for a geometry-optimized Si3AsOs structure.

The volume comes out at 20.0 A^3/atom. Its crystal system is cubic. For the excess energy over the best structure of this formula in the dataset, the calculation gives 0.000 eV per atom. For the total moment, the calculation gives 0.00 μB per cell. The density of states at the Fermi level comes out at 0.739 states/eV per atom.

It has space group Pm-3m (No. 221), with a = 4.643 Å, b = 4.643 Å, c = 4.643 Å, α = 90.00°, β = 90.00° and γ = 90.00°. The inequivalent atoms are Si at (0.000, 0.000, 0.500), As at (0.500, 0.500, 0.500) and Os at (0.000, 0.000, 0.000).

(14)
DFT (PBE) results for a geometry-optimized Zr2SiAsOs structure.

The volume comes out at 21.4 A^3/atom. Its crystal system is tetragonal. As for the total energy: -6.8215 eV per atom. For the total moment, the calculation gives 0.00 μB per cell. The density of states at the Fermi level comes out at 1.058 states/eV per atom.

It has space group P4/mmm (No. 123), with a = 4.943 Å, b = 4.943 Å, c = 4.376 Å, α = 90.00°, β = 90.00° and γ = 90.00°. The inequivalent atoms are Zr at (0.000, 0.500, 0.000), Si at (0.000, 0.000, 0.000), As at (0.000, 0.000, 0.500) and Os at (0.500, 0.500, 0.500).